## CuPb5 (GGA-PBE)

Data for a relaxed structure of CuPb5.

The structure in POSCAR format:
```
CuPb5
1.0
-5.294 -2.611 -2.073
5.088 -3.530 0.892
-1.712 -1.033 5.672
Cu Pb
1 5
direct
0.000 0.000 0.000 Cu
0.333 0.667 0.000 Pb
0.667 0.333 0.000 Pb
0.500 0.000 0.500 Pb
0.000 0.500 0.500 Pb
0.500 0.500 0.500 Pb
```

## Properties
Calculated volume ... 34.0 A^3/atom
Energy of formation ... 485 meV per atom
Excess energy over the best structure of this formula in the dataset ... 2.27 eV per formula unit
Space-group type ... No. 191
Size of the total moment ... 0.000 μB/atom
Total DFT energy (no corrections) ... -3.288 eV/atom